# Ti6O

A relaxed Ti6O crystal (PBE, Alexandria).

The structure in POSCAR format:
```
Ti6O
1.0
-0.393 -4.031 -3.121
4.090 3.056 -0.275
2.234 -2.701 3.207
Ti O
6 1
Cartesian
1.939 0.309 0.745
4.385 0.046 2.187
2.877 -2.320 1.244
0.452 -2.041 -0.199
3.053 -1.356 -1.433
1.388 -4.691 0.284
0.000 0.000 0.000
```

Polymorph energy (0 for the lowest one)   0.0155 eV/atom
Calculated total energy   -8.279 eV/atom
Fermi-level density of states   5.62 states/eV per cell
Formation energy (no corrections)   -0.804 eV per atom
Volume   107.6 Å³/cell
SG   P-31m, No. 162

# Te2WSeN

A relaxed Te2WSeN crystal (PBE, Alexandria).

The structure in POSCAR format:
```
Te2WSeN
1.0
5.491 0.000 0.000
0.000 5.491 0.000
0.000 0.000 3.596
Te W N Se
2 1 1 1
Cartesian
2.745 0.000 0.000
0.000 2.745 0.000
2.745 2.745 1.798
0.000 0.000 1.798
0.000 0.000 0.000
```

Polymorph energy (0 for the lowest one)   1.2085 eV/atom
Calculated total energy   -4.628 eV/atom
Fermi-level density of states   3.27 states/eV per cell
Formation energy (no corrections)   1.581 eV per atom
Volume   108.4 Å³/cell
SG   P4/mmm, No. 123

# MnCrAs2

A relaxed MnCrAs2 crystal (PBE, Alexandria).

The structure in POSCAR format:
```
MnCrAs2
1.0
-3.070 0.125 3.058
-3.649 -2.286 -0.498
-0.733 -3.480 2.479
As Cr Mn
2 1 1
Cartesian
-5.589 -4.231 3.780
0.000 0.000 0.000
-3.726 -2.821 2.520
-1.863 -1.410 1.260
```

Polymorph energy (0 for the lowest one)   0.5252 eV/atom
Calculated total energy   -6.593 eV/atom
Fermi-level density of states   2.05 states/eV per cell
Volume   57.6 Å³/cell
SG   F-43m, No. 216

# Hf6Cu3C

A relaxed Hf6Cu3C crystal (PBE, Alexandria).

The structure in POSCAR format:
```
Hf6Cu3C
1.0
-4.463 1.117 -3.443
-0.689 -6.823 -1.321
-6.019 -0.667 6.587
C Hf Cu
2 12 6
Cartesian
-5.586 -3.186 0.912
0.000 0.000 0.000
-10.016 -4.460 2.196
-3.651 -2.483 1.865
-6.305 -3.833 2.944
-1.155 -1.913 -0.372
-7.520 -3.890 -0.041
-4.836 -5.285 0.507
-2.415 -5.458 -1.873
-4.866 -2.540 -1.121
-5.363 -0.643 4.435
-6.335 -1.088 1.316
-5.809 -5.730 -2.611
-8.757 -0.915 3.697
-7.683 -5.857 1.697
-2.260 -4.281 0.473
-8.911 -2.092 1.351
-3.010 -0.334 3.294
-2.576 -2.853 -2.382
-3.489 -0.516 0.127
```

Calculated total energy   -8.288 eV/atom
Fermi-level density of states   18.24 states/eV per cell
Volume   358.3 Å³/cell
SG   P2_1/c, No. 14

# NdPuTe2

A relaxed NdPuTe2 crystal (PBE, Alexandria).

The structure in POSCAR format:
```
NdPuTe2
1.0
-0.588 -3.127 -3.108
2.777 -3.467 -0.220
-3.599 -5.957 3.492
Te Pu Nd
2 1 1
Cartesian
-0.378 -3.160 0.069
-1.031 -9.390 0.096
-0.705 -6.275 0.082
0.000 0.000 0.000
```

Polymorph energy (0 for the lowest one)   0.0000 eV/atom
Calculated total energy   -7.621 eV/atom
Fermi-level density of states   11.22 states/eV per cell
Formation energy (no corrections)   -1.276 eV per atom
Volume   125.9 Å³/cell
SG   R-3m, No. 166

# MgScSb2

A relaxed MgScSb2 crystal (PBE, Alexandria).

The structure in POSCAR format:
```
MgScSb2
1.0
5.197 0.000 0.000
2.599 4.501 0.000
2.599 1.500 4.244
Sb Sc Mg
2 1 1
Cartesian
2.599 1.500 1.061
0.000 0.000 0.000
7.796 4.501 3.183
5.197 3.001 2.122
```

Calculated total energy   -4.094 eV/atom
Fermi-level density of states   3.39 states/eV per cell
Formation energy (no corrections)   -0.051 eV per atom
Volume   99.3 Å³/cell
SG   F-43m, No. 216

# CaAcDy2

A relaxed CaAcDy2 crystal (PBE, Alexandria).

The structure in POSCAR format:
```
CaAcDy2
1.0
-5.255 1.715 2.122
-4.929 -1.029 -3.114
-3.897 -4.043 1.877
Ac Dy Ca
1 2 1
Cartesian
0.000 0.000 0.000
-10.561 -2.518 0.663
-3.520 -0.839 0.221
-7.040 -1.679 0.442
```

Polymorph energy (0 for the lowest one)   0.0719 eV/atom
Calculated total energy   -3.660 eV/atom
Fermi-level density of states   6.38 states/eV per cell
Volume   146.8 Å³/cell
SG   Fm-3m, No. 225

# LaTeCl

A relaxed LaTeCl crystal (PBE, Alexandria).

The structure in POSCAR format:
```
LaTeCl
1.0
-0.803 1.505 -4.729
3.125 -1.446 -3.663
-1.542 -3.303 -3.462
Te Cl La
1 1 1
Cartesian
0.390 -1.622 -5.927
0.585 -2.433 -8.891
0.000 0.000 0.000
```

Polymorph energy (0 for the lowest one)   0.5308 eV/atom
Calculated total energy   -4.747 eV/atom
Fermi-level density of states   0.00 states/eV per cell
Formation energy (no corrections)   -1.441 eV per atom
Volume   89.9 Å³/cell
SG   F-43m, No. 216

# PaTlBi2

A relaxed PaTlBi2 crystal (PBE, Alexandria).

The structure in POSCAR format:
```
PaTlBi2
1.0
4.568 0.000 0.000
2.284 3.956 0.000
2.284 1.319 8.133
Bi Tl Pa
2 1 1
Cartesian
2.284 1.319 1.667
2.284 1.319 6.378
4.568 2.637 4.172
6.852 3.956 8.117
```

Polymorph energy (0 for the lowest one)   0.1314 eV/atom
Calculated total energy   -4.888 eV/atom
Volume   147.0 Å³/cell
SG   R3m, No. 160

# NaThCl14

A relaxed NaThCl14 crystal (PBE, Alexandria).

The structure in POSCAR format:
```
NaThCl14
1.0
-5.171 -3.322 5.555
1.562 -3.921 -7.129
6.367 -3.946 3.566
Na Cl Th
1 14 1
Cartesian
-3.220 -3.496 1.880
1.433 -8.777 3.143
0.020 -2.113 -2.373
3.501 -4.625 4.045
0.466 -6.195 5.854
-1.575 -5.314 -3.068
1.535 -7.252 -1.116
-0.301 -2.268 1.915
3.956 -5.824 -3.858
3.103 -4.105 -0.433
-2.101 -4.604 4.416
0.989 -4.866 -1.464
0.101 -5.481 3.405
-2.370 -6.420 1.013
3.604 -6.487 0.001
0.193 -3.800 -4.550
```

Calculated total energy   -2.664 eV/atom
Fermi-level density of states   9.03 states/eV per cell
Formation energy (no corrections)   -0.502 eV per atom
Volume   491.5 Å³/cell
SG   Amm2, No. 38

# TbPmZnAg

A relaxed TbPmZnAg crystal (PBE, Alexandria).

The structure in POSCAR format:
```
TbPmZnAg
1.0
-1.402 -0.473 -4.961
-2.004 -4.456 -1.709
-5.014 -0.269 -1.258
Zn Ag Tb Pm
1 1 1 1
Cartesian
-6.315 -3.899 -5.946
-2.105 -1.300 -1.982
0.000 0.000 0.000
-4.210 -2.599 -3.964
```

Calculated total energy   -3.675 eV/atom
Fermi-level density of states   3.02 states/eV per cell
Volume   98.1 Å³/cell
SG   F-43m, No. 216

# LiNdTl5

A relaxed LiNdTl5 crystal (PBE, Alexandria).

The structure in POSCAR format:
```
LiNdTl5
1.0
-2.799 -3.644 1.757
3.706 -1.454 2.890
-2.590 4.739 5.704
Tl Li Nd
5 1 1
Cartesian
-2.168 -0.416 2.571
-3.221 1.511 4.890
0.032 2.606 5.457
1.084 0.680 3.138
0.453 -2.549 2.323
-1.295 2.370 2.852
0.000 0.000 0.000
```

Calculated total energy   -2.849 eV/atom
Fermi-level density of states   1.96 states/eV per cell
Volume   190.1 Å³/cell
SG   P4/mmm, No. 123